Entry from Alexandria: a relaxed structure of Ac5PmPr2Nd (GGA-PBE).

Cell: 8.5442 8.5442 11.9693 Å, 110.91 110.91 90.00°
Positions (direct):
Pr 0.1219 0.3781 0.0000
Ac 0.8548 0.9177 0.2725
Pm 0.7500 0.7500 0.5000
Pr 0.8781 0.6219 0.0000
Ac 0.5000 0.5000 0.0000
Ac 0.3548 0.8548 0.2725
Ac 0.5823 0.6452 0.7275
Pr 0.6219 0.1219 0.0000
Ac 0.1452 0.0823 0.7275
Nd 0.7500 0.2500 0.5000
Ac 0.6452 0.1452 0.7275
Pm 0.2500 0.2500 0.5000
Nd 0.2500 0.7500 0.5000
Ac 0.0000 0.0000 0.0000
Ac 0.0823 0.5823 0.7275
Ac 0.9177 0.4177 0.2725
Pr 0.3781 0.8781 0.0000
Ac 0.4177 0.3548 0.2725

Values from the calculation:
- N(E_F) (states/eV/atom) = 1.57
- formation energy from the elements (eV/atom) = 0.266
- calculated total energy (eV per atom) = -4.14